First-principles (GGA-PBE) data for a relaxed structure of Li2AlSe, as listed in the Alexandria database.

Geometry as extended XYZ:
```
4
Lattice="2.1175 -2.1767 0.0000 2.1175 2.1767 0.0000 0.0000 0.0000 7.7856" Properties=species:S:1:pos:R:3 pbc="T T T"
Li 0.0000 0.0000 1.6558
Li 0.0000 0.0000 6.1298
Al 2.1175 0.0000 3.8928
Se 2.1175 0.0000 0.0000
```

Output
mass density: 2772 kg/m³
polymorph energy (0 for the lowest one): 0.166 eV per atom
total magnetization: 0.0 μB/f.u.
ΔE_f (raw): -1.454 eV/f.u.
DOS at the Fermi energy: 0.419 states/eV/atom